This record from Alexandria via LeMat-Bulk describes a geometry-optimized Nd3Ho5Se8 structure. The functional is PBE.

Properties
total moment = 0.0 μB per cell

Cell and atoms, written as POSCAR:
```
Nd3Ho5Se8
1.0
2.109 -6.145 4.979
1.649 -7.395 -3.097
7.835 -2.775 -0.017
Ho Se Nd
5 8 3
Direct
0.000 0.500 0.000
0.500 0.000 0.000
0.000 0.000 0.000
0.500 0.500 0.500
0.500 0.500 0.000
0.750 0.750 0.239
0.250 0.739 0.761
0.739 0.250 0.761
0.744 0.744 0.767
0.750 0.261 0.239
0.250 0.250 0.761
0.256 0.256 0.233
0.261 0.750 0.239
0.000 0.500 0.500
0.500 0.000 0.500
0.000 0.000 0.500
```

This record from Alexandria via LeMat-Bulk describes a geometry-optimized La6Sm12Tm structure. The functional is PBE.

Properties
formation enthalpy at 0 K = 0.292 eV/atom
total moment = 0.0 μB per cell

Cell and atoms, written as POSCAR:
```
La6Sm12Tm
1.0
-4.487 4.369 7.854
-4.920 -8.158 -3.185
9.745 -1.794 1.653
Tm Sm La
1 12 6
Direct
0.000 0.000 0.000
0.263 0.903 0.263
0.737 0.097 0.737
0.500 0.122 0.878
0.737 0.737 0.097
0.878 0.122 0.500
0.097 0.737 0.737
0.122 0.500 0.878
0.903 0.263 0.263
0.878 0.500 0.122
0.263 0.263 0.903
0.122 0.878 0.500
0.500 0.878 0.122
0.735 0.735 0.476
0.265 0.524 0.265
0.265 0.265 0.524
0.476 0.735 0.735
0.524 0.265 0.265
0.735 0.476 0.735
```

This record from Alexandria via LeMat-Bulk describes a geometry-optimized Nd4ErP5 structure. The functional is PBE.

Properties
formation enthalpy at 0 K = -1.541 eV/atom
total moment = 0.0 μB per cell

Cell and atoms, written as POSCAR:
```
Nd4ErP5
1.0
0.596 3.129 4.901
-5.401 -0.760 4.627
3.412 -3.436 5.264
P Er Nd
5 1 4
Direct
0.707 0.196 0.392
0.295 0.804 0.608
0.099 0.608 0.196
0.501 0.000 0.000
0.903 0.392 0.804
0.001 0.000 0.000
0.201 0.201 0.398
0.801 0.799 0.602
0.600 0.602 0.201
0.402 0.398 0.799
```

This record from Alexandria via LeMat-Bulk describes a geometry-optimized Na6CdAg2 structure. The functional is PBE.

Properties
formation enthalpy at 0 K = -0.031 eV/atom
total moment = 0.0 μB per cell

Cell and atoms, written as POSCAR:
```
Na6CdAg2
1.0
-2.277 -4.371 0.010
4.207 0.579 -3.676
4.793 -2.476 9.237
Na Cd Ag
6 1 2
Direct
0.716 0.432 0.102
0.461 0.922 0.263
0.284 0.568 0.898
0.539 0.078 0.737
0.176 0.353 0.565
0.824 0.647 0.435
0.000 0.000 0.000
0.150 0.299 0.267
0.850 0.701 0.733
```

Number 1: theoretical density 7.91 Mg/m³, uncorrected energy -5.828 eV/atom, Fermi-level density of states 9.483 states/eV/f.u.. Number 2: theoretical density 6.86 Mg/m³, uncorrected energy -4.480 eV/atom, Fermi-level density of states 31.162 states/eV/f.u.. Number 3: theoretical density 5.99 Mg/m³, uncorrected energy -6.609 eV/atom, Fermi-level density of states 0.468 states/eV/f.u.. Number 4: theoretical density 3.03 Mg/m³, uncorrected energy -1.645 eV/atom, Fermi-level density of states 2.614 states/eV/f.u..